Entry 1:
DFT (PBE-GGA) results for an optimized crystal structure of YTeS4.

Structure (POSCAR):
```
YTeS4
1.0
6.217 0.000 0.000
0.000 6.780 0.000
-0.832 0.000 6.852
Y Te S
2 2 8
Cartesian
0.000 0.000 0.000
-0.416 3.390 3.426
2.693 0.000 3.426
3.109 3.390 0.000
0.577 1.086 2.460
0.162 2.304 5.886
1.588 4.883 1.757
1.172 5.287 5.183
4.213 1.493 1.669
3.797 1.897 5.094
5.224 4.476 0.966
4.808 5.694 4.392
```

space-group type	P2_1/c (14)
crystal system	monoclinic
N(E_F)	3.68	states/eV per cell
formation energy from raw total energies	-13.93	kcal/mol of atoms
energy	-4.957	eV per atom

Entry 2:
DFT (PBE-GGA) results for an optimized crystal structure of La2Y3Ga4.

Structure (POSCAR):
```
La2Y3Ga4
1.0
3.506 -8.011 0.000
3.506 8.011 0.000
0.000 0.000 8.699
La Y Ga
4 6 8
Cartesian
3.506 6.286 8.022
3.506 1.725 3.672
3.506 -1.725 5.027
3.506 -6.286 0.677
0.000 0.000 4.350
1.753 3.432 6.524
1.753 -3.432 2.175
3.506 0.000 0.000
5.258 3.432 6.524
5.258 -3.432 2.175
3.506 5.016 4.699
1.753 0.514 6.524
1.753 -0.514 2.175
3.506 2.996 0.350
3.506 -2.996 8.349
5.258 0.514 6.524
5.258 -0.514 2.175
3.506 -5.016 4.000
```

space-group type	Cmce (64)
relative energy among the computed polymorphs	146.2	meV per atom
crystal system	orthorhombic
formation energy from the elements	-0.4528	eV per atom
N(E_F)	14.43	states/eV per cell
energy	-5.048	eV per atom

Entry 3:
DFT (PBE-GGA) results for an optimized crystal structure of BaIrI3.

Structure (POSCAR):
```
BaIrI3
1.0
5.530 0.000 0.000
0.000 5.530 0.000
0.000 0.000 5.530
Ba Ir I
1 1 3
Cartesian
0.000 0.000 0.000
2.765 2.765 2.765
0.000 2.765 2.765
2.765 0.000 2.765
2.765 2.765 0.000
```

space-group type	Pm-3m (221)
crystal system	cubic
N(E_F)	1.21	states/eV per cell
formation energy from raw total energies	-13.40	kcal/mol of atoms
energy	-3.668	eV per atom

Entry 4:
DFT (PBE-GGA) results for an optimized crystal structure of Ba2ZnSb3Pd4.

Structure (POSCAR):
```
Ba2ZnSb3Pd4
1.0
4.739 0.000 0.000
0.000 4.739 0.000
0.000 0.000 10.717
Ba Zn Sb Pd
2 1 3 4
Cartesian
0.000 2.370 2.671
2.370 0.000 8.046
0.000 0.000 5.358
0.000 2.370 9.359
2.370 0.000 1.358
2.370 2.370 5.358
0.000 0.000 0.000
0.000 2.370 6.615
2.370 0.000 4.102
2.370 2.370 0.000
```

space-group type	P-4m2 (115)
crystal system	tetragonal
N(E_F)	4.42	states/eV per cell
formation energy from raw total energies	-17.61	kcal/mol of atoms
energy	-4.590	eV per atom

Entry 5:
DFT (PBE-GGA) results for an optimized crystal structure of DyPd2Pb.

Structure (POSCAR):
```
DyPd2Pb
1.0
4.695 0.000 0.000
0.000 4.695 0.000
0.000 0.000 3.781
Dy Pd Pb
1 2 1
Cartesian
0.000 0.000 0.000
0.000 2.348 1.891
2.348 0.000 1.891
2.348 2.348 0.000
```

space-group type	P4/mmm (123)
crystal system	tetragonal
formation energy from the elements	-0.6025	eV per atom
N(E_F)	2.93	states/eV per cell
energy	-5.277	eV per atom

Entry 6:
DFT (PBE-GGA) results for an optimized crystal structure of Sm4DyTm5.

Structure (POSCAR):
```
Sm4DyTm5
1.0
-5.130 5.130 3.097
5.130 -5.130 3.097
5.130 5.130 -3.097
Sm Dy Tm
4 1 5
Cartesian
3.561 0.476 0.000
4.654 -1.569 3.097
0.476 6.699 0.000
1.569 4.654 3.097
0.000 0.000 4.753
0.000 0.000 1.449
6.659 2.783 -0.009
2.783 3.600 -0.009
2.347 1.529 3.088
-1.529 2.347 3.088
```

space-group type	I4 (79)
relative energy among the computed polymorphs	102.7	meV per atom
crystal system	tetragonal
formation energy from the elements	0.2984	eV per atom
N(E_F)	13.86	states/eV per cell
energy	-4.285	eV per atom

Entry 7:
DFT (PBE-GGA) results for an optimized crystal structure of Rb2AlCr.

Structure (POSCAR):
```
Rb2AlCr
1.0
-6.660 6.660 2.536
6.660 -6.660 2.536
6.660 6.660 -2.536
Rb Al Cr
4 2 2
Cartesian
0.906 3.330 0.634
-3.330 5.754 1.902
-0.906 9.990 0.634
3.330 7.566 1.902
6.660 0.000 1.268
0.000 0.000 2.536
0.000 0.000 0.000
0.000 6.660 1.268
```

space-group type	I-42d (122)
crystal system	tetragonal
formation energy from the elements	0.7500	eV per atom
N(E_F)	6.28	states/eV per cell
energy	-3.075	eV per atom

Entry 8:
DFT (PBE-GGA) results for an optimized crystal structure of Cd2Ag4Sn3.

Structure (POSCAR):
```
Cd2Ag4Sn3
1.0
4.816 -2.276 0.000
4.816 2.276 0.000
-0.892 0.000 9.445
Cd Ag Sn
2 4 3
Cartesian
0.836 0.000 2.969
7.904 0.000 6.476
1.428 0.000 5.805
3.294 0.000 8.198
5.447 0.000 1.247
7.313 0.000 3.640
0.468 0.000 8.632
4.370 0.000 4.723
8.272 0.000 0.814
```

space-group type	C2/m (12)
crystal system	monoclinic
formation energy from the elements	0.0726	eV per atom
N(E_F)	3.23	states/eV per cell
energy	-2.732	eV per atom